Version A
Below is a relaxed structure of Tm2OsI, with properties calculated at the GGA-PBE level.

SG: No. 123
Density of states at the Fermi level: 0.90 states/eV per cell

abc: 3.441 3.441 8.344
angles: 90.00 90.00 90.00
Fractional positions:
I1 0.500 0.500 0.500
Tm1 0.000 0.000 0.805
Tm2 0.000 0.000 0.195
Os1 0.500 0.500 0.000

---

Version B
Below is a relaxed structure of Tm2OsI, with properties calculated at the GGA-PBE level.

SG: No. 166
Density of states at the Fermi level: 2.68 states/eV per cell

abc: 4.047 4.047 8.146
angles: 75.62 75.62 60.00
Fractional positions:
I1 0.500 0.500 0.500
Tm1 0.727 0.727 0.819
Tm2 0.273 0.273 0.181
Os1 0.000 0.000 0.000

---

Quick one: most stable of them? version A

---

Version A
Below is a relaxed structure of VOs3I, with properties calculated at the GGA-PBE level.

SG: No. 221
Density of states at the Fermi level: 8.63 states/eV per cell

abc: 4.583 4.583 4.583
angles: 90.00 90.00 90.00
Fractional positions:
I1 0.500 0.500 0.500
Os1 0.000 0.500 0.000
Os2 0.000 0.000 0.500
Os3 0.500 0.000 0.000
V1 0.000 0.000 0.000

---

Version B
Below is a relaxed structure of VOs3I, with properties calculated at the GGA-PBE level.

SG: No. 221
Density of states at the Fermi level: 8.27 states/eV per cell

abc: 4.775 4.775 4.775
angles: 90.00 90.00 90.00
Fractional positions:
I1 0.000 0.000 0.000
Os1 0.000 0.500 0.000
Os2 0.000 0.000 0.500
Os3 0.500 0.000 0.000
V1 0.500 0.500 0.500

---

Quick one: most stable of them? version A

---

Version A
Below is a relaxed structure of OsWI3, with properties calculated at the GGA-PBE level.

SG: No. 221
Density of states at the Fermi level: 6.06 states/eV per cell

abc: 5.385 5.385 5.385
angles: 90.00 90.00 90.00
Fractional positions:
I1 0.000 0.500 0.000
I2 0.000 0.000 0.500
I3 0.500 0.000 0.000
Os1 0.000 0.000 0.000
W1 0.500 0.500 0.500

---

Version B
Below is a relaxed structure of OsWI3, with properties calculated at the GGA-PBE level.

SG: No. 221
Density of states at the Fermi level: 8.86 states/eV per cell

abc: 5.576 5.576 5.576
angles: 90.00 90.00 90.00
Fractional positions:
I1 0.000 0.500 0.000
I2 0.000 0.000 0.500
I3 0.500 0.000 0.000
Os1 0.500 0.500 0.500
W1 0.000 0.000 0.000

---

Quick one: most stable of them? version A

---

Version A
Below is a relaxed structure of YOs2I, with properties calculated at the GGA-PBE level.

SG: No. 225
Density of states at the Fermi level: 0.58 states/eV per cell

abc: 4.783 4.783 4.783
angles: 60.00 60.00 60.00
Fractional positions:
I1 0.500 0.500 0.500
Y1 0.000 0.000 0.000
Os1 0.250 0.250 0.250
Os2 0.750 0.750 0.750

---

Version B
Below is a relaxed structure of YOs2I, with properties calculated at the GGA-PBE level.

SG: No. 122
Density of states at the Fermi level: 10.59 states/eV per cell

abc: 7.787 7.787 6.188
angles: 51.01 51.01 90.00
Fractional positions:
I1 0.000 0.000 0.000
I2 0.750 0.250 0.500
Y1 0.500 0.500 0.000
Y2 0.250 0.750 0.500
Os1 0.665 0.125 0.250
Os2 0.085 0.625 0.250
Os3 0.375 0.335 0.750
Os4 0.875 0.915 0.750

---

Quick one: most stable of them? version A